Entry 1:
VASP calculation (PBE-GGA) on a relaxed Zn2AgRh crystal.

Computed properties:
The calculation puts the density of states at the Fermi level at 2.3 states/eV/cell. The calculation puts the calculated formation energy at -0.08 eV/atom. The value obtained for the total magnetization is 0.0 Bohr magnetons per cell. The crystal system is tetragonal.

Unit cell a=3.2103 b=3.2103 c=5.8986 alpha=90.00 beta=90.00 gamma=90.00
With the nearest neighbours (Å) after each atom.
Element x y z (fractional)
Zn 0.0000 0.0000 0.0000  4 Rh 2.56, 4 Zn 2.72
Zn 0.5000 0.5000 0.2541  1 Rh 2.69, 4 Ag 2.70, 4 Zn 2.72
Ag 0.0000 0.0000 0.5022  6 Zn 2.70-2.96, 4 Rh 2.87
Rh 0.5000 0.5000 0.7987  5 Zn 2.56-2.69, 4 Ag 2.87

=====

Entry 2:
VASP calculation (PBE-GGA) on a relaxed ZnAg3Rh crystal.

Computed properties:
The polymorph energy (0 for the lowest one) is 146 meV per atom. The calculation puts the density of states at the Fermi level at 4.4 states/eV/cell. The calculation puts the calculated formation energy at 1.03 eV/atom. The value obtained for the total magnetization is 0.6 Bohr magnetons per cell. The crystal system is cubic.

Unit cell a=5.0507 b=5.0507 c=5.0507 alpha=90.00 beta=90.00 gamma=90.00
With the nearest neighbours (Å) after each atom.
Element x y z (fractional)
Zn 0.0000 0.0000 0.0000  12 Ag 3.57
Ag 0.0000 0.5000 0.5000  2 Rh 2.53
Ag 0.5000 0.0000 0.5000  2 Rh 2.53
Ag 0.5000 0.5000 0.0000  2 Rh 2.53
Rh 0.5000 0.5000 0.5000  6 Ag 2.53